## SrVRuO5 (PBE+U)

Data for an optimized crystal structure of SrVRuO5.

It has space group C2/c (No. 15), with a = 6.940 Å, b = 9.326 Å, c = 7.334 Å, α = 90.00°, β = 113.24° and γ = 90.00°. The inequivalent atoms are Sr at (0.000, 0.172, 0.250), V at (0.000, 0.183, 0.750), Ru at (0.000, 0.500, 0.000), O at (0.000, 0.445, 0.250), O at (0.101, 0.292, 0.607) and O at (0.189, 0.065, 0.916).

The value obtained for the density of states at the Fermi level is 8.8 states/eV/cell. As for the electronic total energy: -58.4 eV per formula unit. The volume is 109 Å³/f.u.